TiAgRu2Se | PBE-GGA | optimized geometry

**Symmetry**: P4/mmm, No. 123

a = 4.5078 Å, b = 4.5078 Å, c = 4.7895 Å
α = 90.00°, β = 90.00°, γ = 90.00°
Closest atoms and distances in Å follow each position.
Fractional coordinates of all 5 atoms:
Ti 0.0000 0.0000 0.0000  4 Ag 3.19, 8 Ru 3.29
Ag 0.5000 0.5000 0.0000  2 Se 2.39
Ru 0.0000 0.5000 0.5000  2 Se 2.25
Ru 0.5000 0.0000 0.5000  2 Se 2.25
Se 0.5000 0.5000 0.5000  4 Ru 2.25, 2 Ag 2.39

ZnAgRuSe2 | PBE-GGA | optimized geometry

**Symmetry**: P4/mmm, No. 123

a = 4.8476 Å, b = 4.8476 Å, c = 4.8130 Å
α = 90.00°, β = 90.00°, γ = 90.00°
Closest atoms and distances in Å follow each position.
Fractional coordinates of all 5 atoms:
Zn 0.0000 0.0000 0.0000  2 Ru 2.41, 4 Se 2.42
Ag 0.5000 0.5000 0.5000  8 Se 3.42, 4 Ru 3.43
Ru 0.0000 0.0000 0.5000  2 Zn 2.41
Se 0.0000 0.5000 0.0000  2 Zn 2.42
Se 0.5000 0.0000 0.0000  2 Zn 2.42

SiAgRu2 | PBE-GGA | optimized geometry

**Symmetry**: R-3m, No. 166

a = 8.7012 Å, b = 8.7012 Å, c = 8.7012 Å
α = 18.57°, β = 18.57°, γ = 18.57°
Closest atoms and distances in Å follow each position.
Fractional coordinates of all 4 atoms:
Si 0.0000 0.0000 0.0000  6 Ru 2.45
Ag 0.5000 0.5000 0.5000  6 Ag 2.81, 6 Ru 2.93
Ru 0.2619 0.2619 0.2619  3 Si 2.45
Ru 0.7381 0.7381 0.7381  3 Si 2.45

Si2AgRu | PBE-GGA | optimized geometry

**Symmetry**: Fm-3m, No. 225
**ΔE to the lowest computed polymorph**: 0.309 eV per atom

a = 4.3439 Å, b = 4.3439 Å, c = 4.3439 Å
α = 60.00°, β = 60.00°, γ = 60.00°
Closest atoms and distances in Å follow each position.
Fractional coordinates of all 4 atoms:
Si 0.2500 0.2500 0.2500  4 Ru 2.66, 4 Ag 2.66
Si 0.7500 0.7500 0.7500  4 Ru 2.66, 4 Ag 2.66
Ag 0.0000 0.0000 0.0000  8 Si 2.66
Ru 0.5000 0.5000 0.5000  8 Si 2.66

Si2AgRu | PBE-GGA | optimized geometry

**Symmetry**: C2/m, No. 12
**ΔE to the lowest computed polymorph**: 0.058 eV per atom

a = 4.2679 Å, b = 4.2679 Å, c = 5.1596 Å
α = 98.45°, β = 98.45°, γ = 41.19°
Closest atoms and distances in Å follow each position.
Fractional coordinates of all 4 atoms:
Si 0.2339 0.2339 0.1944  3 Ru 2.48-2.49, 2 Si 2.55, 1 Ag 2.63
Si 0.7661 0.7661 0.8056  3 Ru 2.48-2.49, 2 Si 2.55, 1 Ag 2.63
Ag 0.0000 0.0000 0.5000  6 Si 2.63-2.87
Ru 0.5000 0.5000 0.0000  6 Si 2.48-2.49

SiAgRu2 | PBE-GGA | optimized geometry

**Symmetry**: Amm2, No. 38

a = 4.0093 Å, b = 5.2930 Å, c = 5.2930 Å
α = 31.44°, β = 90.00°, γ = 90.00°
Closest atoms and distances in Å follow each position.
Fractional coordinates of all 4 atoms:
Si 0.0000 0.0000 0.0000  3 Ru 2.41-2.65
Ag 0.5000 0.6081 0.6081  7 Ru 2.66-2.91, 4 Si 2.70, 2 Ag 2.87
Ru 0.0000 0.2602 0.2602  3 Si 2.65-2.83, 6 Ru 2.70-2.87, 4 Ag 2.91
Ru 0.5000 0.8694 0.8694  2 Si 2.41, 1 Ag 2.66

SiAgRu2 | PBE-GGA | optimized geometry

**Symmetry**: C2/m, No. 12

a = 5.2290 Å, b = 5.2290 Å, c = 4.5297 Å
α = 115.41°, β = 115.41°, γ = 31.77°
Closest atoms and distances in Å follow each position.
Fractional coordinates of all 4 atoms:
Si 0.0000 0.0000 0.0000  4 Ru 2.39
Ag 0.5000 0.5000 0.5000  4 Si 2.68, 2 Ag 2.86, 8 Ru 2.96-2.97
Ru 0.2874 0.2874 0.7873  2 Si 2.39
Ru 0.7126 0.7126 0.2127  2 Si 2.39

SiAgRu2 | PBE-GGA | optimized geometry

**Symmetry**: R3m, No. 160

a = 8.8233 Å, b = 8.8233 Å, c = 8.8233 Å
α = 18.30°, β = 18.30°, γ = 18.30°
Closest atoms and distances in Å follow each position.
Fractional coordinates of all 4 atoms:
Si 0.0000 0.0000 0.0000  3 Ru 2.50, 3 Ag 2.79
Ag 0.7538 0.7538 0.7538  3 Si 2.79, 6 Ag 2.81, 3 Ru 2.93
Ru 0.2602 0.2602 0.2602  3 Si 2.50, 3 Ru 2.62
Ru 0.5144 0.5144 0.5144  9 Ru 2.62-2.81, 3 Ag 2.93

Record order is preserved below.
ΔE_f (raw): 4.4; 4.6; -0.1; 0.8; -0.2; 0.7; 0.1; 0.6 eV per formula unit
Record order is preserved below.
VASP energy: -5.677; -3.150; -6.735; -5.541; -5.792; -6.531; -6.679; -6.558 eV/atom